The following is a DFT calculation (PBEsol) of a geometry-optimized CsRb2BiF6 structure.

Summary:
Space group: Fm-3m (225)
ΔE_f (raw) (eV per atom): -2.570
Fermi-level density of states (states/eV/cell): 0.00

abc: 7.061 7.061 7.061
angles: 60.00 60.00 60.00
Fractional coordinates of all 10 atoms:
Rb 0.250 0.250 0.250
F 0.775 0.225 0.775
F 0.225 0.225 0.775
Cs 0.500 0.500 0.500
Rb 0.750 0.750 0.750
F 0.225 0.775 0.775
F 0.225 0.775 0.225
F 0.775 0.225 0.225
Bi 0.000 0.000 0.000
F 0.775 0.775 0.225